[1]
This record from the Alexandria database describes a relaxed structure of Mg2AlZn2Ag5. The functional is PBE-GGA.

Cell and atoms, written as POSCAR:
```
Mg2AlZn2Ag5
1.0
3.967 0.000 0.000
0.000 9.544 0.000
0.000 0.000 9.544
Mg Al Zn Ag
4 2 4 10
direct
0.000 0.673 0.173
0.000 0.327 0.827
0.000 0.173 0.327
0.000 0.827 0.673
0.000 0.000 0.000
0.000 0.500 0.500
0.000 0.125 0.625
0.000 0.875 0.375
0.000 0.625 0.875
0.000 0.375 0.125
0.500 0.194 0.080
0.500 0.806 0.920
0.500 0.080 0.806
0.500 0.694 0.420
0.500 0.920 0.194
0.500 0.306 0.580
0.500 0.580 0.694
0.500 0.420 0.306
0.500 0.500 0.000
0.500 0.000 0.500
```

Output
DOS at the Fermi energy = 4.29 states/eV/cell
Crystal system = tetragonal
Space-group type = No. 127
Uncorrected energy = -24.3 eV per formula unit


[2]
This record from the Alexandria database describes a relaxed structure of Mg2Al2ZnAg5. The functional is PBE-GGA.

Cell and atoms, written as POSCAR:
```
Mg2Al2ZnAg5
1.0
-1.655 1.164 -3.001
-5.108 -8.709 -0.561
-7.401 3.979 5.625
Mg Al Zn Ag
4 4 2 10
direct
0.000 0.670 0.170
0.000 0.330 0.830
0.000 0.170 0.330
0.000 0.830 0.670
0.000 0.133 0.633
0.000 0.867 0.367
0.000 0.633 0.867
0.000 0.367 0.133
0.000 0.000 0.000
0.000 0.500 0.500
0.500 0.197 0.051
0.500 0.803 0.949
0.500 0.051 0.803
0.500 0.697 0.449
0.500 0.949 0.197
0.500 0.303 0.551
0.500 0.551 0.697
0.500 0.449 0.303
0.500 0.500 0.000
0.500 0.000 0.500
```

Output
DOS at the Fermi energy = 4.40 states/eV/cell
Crystal system = tetragonal
Space-group type = No. 127
Uncorrected energy = -26.5 eV per formula unit


[3]
This record from the Alexandria database describes a relaxed structure of MgAlZnAg3. The functional is PBE-GGA.

Cell and atoms, written as POSCAR:
```
MgAlZnAg3
1.0
-1.025 -2.405 2.476
6.799 -0.099 0.100
0.002 6.240 6.061
Mg Al Zn Ag
2 2 2 6
direct
0.813 0.626 0.750
0.187 0.374 0.250
0.000 0.000 0.500
0.000 0.000 0.000
0.484 0.969 0.750
0.516 0.031 0.250
0.660 0.320 0.495
0.340 0.680 0.505
0.340 0.680 0.995
0.660 0.320 0.005
0.141 0.281 0.750
0.859 0.719 0.250
```

Output
DOS at the Fermi energy = 2.43 states/eV/cell
Crystal system = orthorhombic
Space-group type = No. 63
Uncorrected energy = -15.7 eV per formula unit


[4]
This record from the Alexandria database describes a relaxed structure of Mg2AlZn5Ag2. The functional is PBE-GGA.

Cell and atoms, written as POSCAR:
```
Mg2AlZn5Ag2
1.0
-2.739 0.774 -3.111
-6.818 -3.022 5.252
-1.266 8.442 3.214
Mg Al Zn Ag
4 2 10 4
direct
0.000 0.679 0.179
0.000 0.321 0.821
0.000 0.179 0.321
0.000 0.821 0.679
0.000 0.000 0.000
0.000 0.500 0.500
0.500 0.197 0.067
0.500 0.803 0.933
0.500 0.067 0.803
0.500 0.697 0.433
0.500 0.933 0.197
0.500 0.303 0.567
0.500 0.567 0.697
0.500 0.433 0.303
0.500 0.500 0.000
0.500 0.000 0.500
0.000 0.118 0.618
0.000 0.882 0.382
0.000 0.618 0.882
0.000 0.382 0.118
```

Output
DOS at the Fermi energy = 6.82 states/eV/cell
Crystal system = tetragonal
Space-group type = No. 127
Uncorrected energy = -19.2 eV per formula unit


[5]
This record from the Alexandria database describes a relaxed structure of Mn2Al3Ag. The functional is PBE-GGA.

Cell and atoms, written as POSCAR:
```
Mn2Al3Ag
1.0
-2.256 -0.372 -1.599
-1.177 -1.528 2.016
-4.521 9.105 4.258
Mn Al Ag
2 3 1
direct
0.500 0.500 0.845
0.500 0.500 0.155
0.000 0.000 0.000
0.000 0.000 0.694
0.000 0.000 0.306
0.500 0.500 0.500
```

Output
DOS at the Fermi energy = 2.79 states/eV/cell
Crystal system = tetragonal
Space-group type = No. 123
Uncorrected energy = -33.6 eV per formula unit


[6]
This record from the Alexandria database describes a relaxed structure of MnAlAg3. The functional is PBE-GGA.

Cell and atoms, written as POSCAR:
```
MnAlAg3
1.0
-1.374 -4.587 -1.335
4.528 -1.693 1.157
-1.523 -0.896 4.646
Mn Al Ag
1 1 3
direct
0.000 0.000 0.000
0.500 0.500 0.500
0.000 0.500 0.000
0.000 0.000 0.500
0.500 0.000 0.000
```

Output
DOS at the Fermi energy = 2.49 states/eV/cell
Crystal system = cubic
Space-group type = No. 221
Uncorrected energy = -16.7 eV per formula unit


[7]
This record from the Alexandria database describes a relaxed structure of MnAl4Ag. The functional is PBE-GGA.

Cell and atoms, written as POSCAR:
```
MnAl4Ag
1.0
-0.010 3.248 4.104
-4.299 0.482 2.946
-0.069 -1.930 4.865
Mn Al Ag
1 4 1
direct
0.750 0.750 0.750
0.874 0.375 0.375
0.375 0.375 0.874
0.375 0.874 0.375
0.375 0.375 0.375
0.000 0.000 0.000
```

Output
DOS at the Fermi energy = 4.26 states/eV/cell
Crystal system = cubic
Space-group type = No. 216
Uncorrected energy = -25.7 eV per formula unit


[8]
This record from the Alexandria database describes a relaxed structure of Mn2AlAg. The functional is PBE-GGA.

Cell and atoms, written as POSCAR:
```
Mn2AlAg
1.0
3.890 0.000 0.000
0.000 3.889 0.000
0.000 0.000 3.906
Mn Al Ag
2 1 1
direct
0.000 0.000 0.000
0.500 0.500 0.000
0.000 0.500 0.500
0.500 0.000 0.500
```

Output
DOS at the Fermi energy = 4.19 states/eV/cell
Crystal system = tetragonal
Space-group type = No. 123
Uncorrected energy = -24.5 eV per formula unit


[9]
This record from the Alexandria database describes a relaxed structure of Mn2AlAg. The functional is PBE-GGA.

Cell and atoms, written as POSCAR:
```
Mn2AlAg
1.0
4.752 -0.065 -0.096
1.550 4.493 0.087
-3.105 -2.285 2.788
Mn Al Ag
2 1 1
direct
0.000 0.000 0.000
0.500 0.500 0.000
0.750 0.250 0.500
0.250 0.750 0.500
```

Output
DOS at the Fermi energy = 3.35 states/eV/cell
Crystal system = triclinic
Space-group type = No. 2
Uncorrected energy = -24.5 eV per formula unit


[10]
This record from the Alexandria database describes a relaxed structure of Mn2AlAg. The functional is PBE-GGA.

Cell and atoms, written as POSCAR:
```
Mn2AlAg
1.0
-3.711 3.679 -0.615
-3.606 -0.697 -3.767
2.174 -1.872 4.410
Mn Al Ag
2 1 1
direct
0.999 0.999 0.000
0.246 0.746 0.500
0.751 0.251 0.500
0.505 0.505 0.000
```

Output
DOS at the Fermi energy = 2.84 states/eV/cell
Crystal system = orthorhombic
Space-group type = No. 44
Uncorrected energy = -24.3 eV per formula unit


[11]
This record from the Alexandria database describes a relaxed structure of Mn2AlAg. The functional is PBE-GGA.

Cell and atoms, written as POSCAR:
```
Mn2AlAg
1.0
4.833 0.069 -0.008
3.961 2.769 -0.008
1.085 0.350 4.575
Mn Al Ag
2 1 1
direct
0.999 0.999 0.992
0.743 0.743 0.773
0.255 0.255 0.243
0.503 0.503 0.492
```

Output
DOS at the Fermi energy = 2.81 states/eV/cell
Crystal system = monoclinic
Space-group type = No. 8
Uncorrected energy = -24.4 eV per formula unit


[12]
This record from the Alexandria database describes a relaxed structure of Mn2AlAg. The functional is PBE-GGA.

Cell and atoms, written as POSCAR:
```
Mn2AlAg
1.0
4.783 -0.007 0.012
3.946 2.704 0.012
0.893 0.276 4.746
Mn Al Ag
2 1 1
direct
0.995 0.995 0.018
0.505 0.505 0.482
0.250 0.250 0.250
0.750 0.750 0.750
```

Output
DOS at the Fermi energy = 2.84 states/eV/cell
Crystal system = monoclinic
Space-group type = No. 12
Uncorrected energy = -24.2 eV per formula unit


[13]
This record from the Alexandria database describes a relaxed structure of Mn2Al2Ag. The functional is PBE-GGA.

Cell and atoms, written as POSCAR:
```
Mn2Al2Ag
1.0
-1.584 -1.604 -6.834
-3.923 -5.607 2.225
-2.329 1.687 0.144
Mn Al Ag
4 4 2
direct
0.165 0.665 0.500
0.665 0.835 0.500
0.835 0.335 0.500
0.335 0.165 0.500
0.369 0.869 0.000
0.869 0.631 0.000
0.631 0.131 0.000
0.131 0.369 0.000
0.000 0.000 0.000
0.500 0.500 0.000
```

Output
DOS at the Fermi energy = 5.02 states/eV/cell
Crystal system = tetragonal
Space-group type = No. 127
Uncorrected energy = -28.8 eV per formula unit


[14]
This record from the Alexandria database describes a relaxed structure of Mn3AlAg. The functional is PBE-GGA.

Cell and atoms, written as POSCAR:
```
Mn3AlAg
1.0
-2.858 3.578 1.649
-0.848 -2.548 4.059
3.847 2.096 2.120
Mn Al Ag
3 1 1
direct
0.000 0.500 0.000
0.000 0.000 0.500
0.500 0.000 0.000
0.500 0.500 0.500
0.000 0.000 0.000
```

Output
DOS at the Fermi energy = 5.25 states/eV/cell
Crystal system = cubic
Space-group type = No. 221
Uncorrected energy = -28.0 eV per formula unit


[15]
This record from the Alexandria database describes a relaxed structure of Mn2AlAg. The functional is PBE-GGA.

Cell and atoms, written as POSCAR:
```
Mn2AlAg
1.0
3.748 0.000 0.000
0.000 2.848 0.007
0.000 2.838 5.601
Mn Al Ag
2 1 1
direct
0.000 0.014 0.985
0.000 0.486 0.515
0.500 0.750 0.750
0.500 0.250 0.250
```

Output
DOS at the Fermi energy = 3.53 states/eV/cell
Crystal system = orthorhombic
Space-group type = No. 47
Uncorrected energy = -24.5 eV per formula unit


[16]
This record from the Alexandria database describes a relaxed structure of MnAl6Ag. The functional is PBE-GGA.

Cell and atoms, written as POSCAR:
```
MnAl6Ag
1.0
4.525 0.190 0.000
0.890 7.814 0.000
0.445 3.907 4.193
Mn Al Ag
1 6 1
direct
0.500 0.500 0.000
0.711 0.612 0.490
0.711 0.102 0.510
0.289 0.898 0.490
0.289 0.388 0.510
0.937 0.666 0.000
0.063 0.334 0.000
0.000 0.000 0.000
```

Output
DOS at the Fermi energy = 4.29 states/eV/cell
Crystal system = monoclinic
Space-group type = No. 12
Uncorrected energy = -33.2 eV per formula unit


[17]
This record from the Alexandria database describes a relaxed structure of Mn3AlAg. The functional is PBE-GGA.

Cell and atoms, written as POSCAR:
```
Mn3AlAg
1.0
4.568 0.000 0.000
0.000 4.568 0.000
0.000 0.000 4.568
Mn Al Ag
3 1 1
direct
0.000 0.500 0.000
0.000 0.000 0.500
0.500 0.000 0.000
0.000 0.000 0.000
0.500 0.500 0.500
```

Output
DOS at the Fermi energy = 3.64 states/eV/cell
Crystal system = cubic
Space-group type = No. 221
Uncorrected energy = -29.2 eV per formula unit


[18]
This record from the Alexandria database describes a relaxed structure of Mn2AlAg. The functional is PBE-GGA.

Cell and atoms, written as POSCAR:
```
Mn2AlAg
1.0
-0.883 1.693 -2.030
-2.318 0.533 1.452
3.332 5.634 3.249
Mn Al Ag
2 1 1
direct
0.000 0.000 0.007
0.500 0.500 0.210
0.500 0.500 0.783
0.000 0.000 0.499
```

Output
DOS at the Fermi energy = 2.33 states/eV/cell
Crystal system = tetragonal
Space-group type = No. 99
Uncorrected energy = -24.9 eV per formula unit


[19]
This record from the Alexandria database describes a relaxed structure of Mn2AlAg. The functional is PBE-GGA.

Cell and atoms, written as POSCAR:
```
Mn2AlAg
1.0
-0.614 0.223 -9.016
-2.281 -1.984 -8.519
-3.323 0.623 -8.383
Mn Al Ag
2 1 1
direct
0.004 0.004 0.004
0.496 0.496 0.496
0.750 0.750 0.750
0.250 0.250 0.250
```

Output
DOS at the Fermi energy = 4.08 states/eV/cell
Crystal system = trigonal
Space-group type = No. 166
Uncorrected energy = -24.1 eV per formula unit


[20]
This record from the Alexandria database describes a relaxed structure of Mn2AlAg. The functional is PBE-GGA.

Cell and atoms, written as POSCAR:
```
Mn2AlAg
1.0
7.104 0.000 0.000
0.000 7.104 0.000
3.552 3.552 2.655
Mn Al Ag
4 2 2
direct
0.616 0.125 0.250
0.134 0.625 0.250
0.375 0.384 0.750
0.875 0.866 0.750
0.500 0.500 0.000
0.250 0.750 0.500
0.000 0.000 0.000
0.750 0.250 0.500
```

Output
DOS at the Fermi energy = 9.17 states/eV/cell
Crystal system = tetragonal
Space-group type = No. 122
Uncorrected energy = -22.9 eV per formula unit